# Rb2CoI6F | the Alexandria database | PBE+U | optimized geometry
# - calculated total energy (eV/atom) = -2.49
data_Rb2CoI6F
_cell_length_a 7.629
_cell_length_b 7.629
_cell_length_c 12.353
_cell_angle_alpha 90.00
_cell_angle_beta 90.00
_cell_angle_gamma 90.00
_space_group_name_H-M_alt 'I 4/m m m'
_space_group_IT_number 139
_space_group_name_Hall '-I 4 2'
loop_
_atom_site_label
_atom_site_fract_x
_atom_site_fract_y
_atom_site_fract_z
Rb1 0.000 0.500 0.250
Co1 0.000 0.000 0.000
I1 0.000 0.000 0.217
I2 0.249 0.249 0.000
F1 0.000 0.000 0.500